An optimized crystal structure of PrDy2Y5Sc. Source: the Alexandria database, functional PBE.

```
PrDy2Y5Sc
1.0
-0.920 -0.234 5.511
-5.282 -7.926 -4.056
8.318 -6.121 1.129
Y Dy Pr Sc
10 4 2 2
Direct
0.273 0.546 0.331 Y
0.628 0.256 0.521 Y
0.982 0.965 0.518 Y
0.702 0.405 0.204 Y
0.480 0.960 0.737 Y
0.727 0.454 0.831 Y
0.372 0.744 0.021 Y
0.018 0.035 0.018 Y
0.520 0.040 0.237 Y
0.298 0.595 0.704 Y
0.885 0.770 0.235 Dy
0.889 0.779 0.814 Dy
0.115 0.230 0.735 Dy
0.111 0.221 0.314 Dy
0.412 0.824 0.448 Pr
0.588 0.176 0.948 Pr
0.193 0.386 0.016 Sc
0.807 0.614 0.516 Sc
```

Calculated values
Energy of formation = 169 meV/atom

---

An optimized crystal structure of PrDyY2Sc. Source: the Alexandria database, functional PBE.

```
PrDyY2Sc
1.0
-2.131 4.460 5.168
-6.272 2.489 -4.734
-0.119 -5.316 4.539
Y Pr Dy Sc
4 2 2 2
Direct
0.000 0.302 0.000 Y
0.500 0.698 0.000 Y
0.000 0.698 0.000 Y
0.500 0.302 0.000 Y
0.750 0.268 0.536 Pr
0.250 0.732 0.464 Pr
0.250 0.265 0.531 Dy
0.750 0.735 0.469 Dy
0.250 0.995 0.990 Sc
0.750 0.005 0.010 Sc
```

Calculated values
Energy of formation = 326 meV/atom

---

An optimized crystal structure of PrDyY2Sc2. Source: the Alexandria database, functional PBE.

```
PrDyY2Sc2
1.0
3.367 0.000 0.000
0.000 6.293 0.000
0.000 0.000 17.549
Sc Pr Y Dy
4 2 4 2
Direct
0.500 0.214 0.645 Sc
0.000 0.286 0.145 Sc
0.500 0.786 0.355 Sc
0.000 0.714 0.855 Sc
0.500 0.500 0.500 Pr
0.000 0.000 0.000 Pr
0.000 0.218 0.807 Y
0.500 0.282 0.307 Y
0.500 0.718 0.693 Y
0.000 0.782 0.193 Y
0.000 0.000 0.500 Dy
0.500 0.500 0.000 Dy
```

Calculated values
Energy of formation = 269 meV/atom

---

An optimized crystal structure of Pr2DyYSc. Source: the Alexandria database, functional PBE.

```
Pr2DyYSc
1.0
-0.315 -6.987 1.834
5.242 -1.828 -6.062
1.789 1.657 6.621
Pr Sc Dy Y
4 2 2 2
Direct
0.000 0.700 0.000 Pr
0.500 0.700 0.000 Pr
0.000 0.300 0.000 Pr
0.500 0.300 0.000 Pr
0.750 0.020 0.039 Sc
0.250 0.980 0.961 Sc
0.750 0.278 0.557 Dy
0.250 0.722 0.443 Dy
0.250 0.252 0.503 Y
0.750 0.748 0.497 Y
```

Calculated values
Energy of formation = 365 meV/atom

---

An optimized crystal structure of PrDy2Y4Sc. Source: the Alexandria database, functional PBE.

```
PrDy2Y4Sc
1.0
-0.566 9.355 -1.042
1.692 -0.640 -9.254
-6.604 -6.989 6.690
Y Dy Pr Sc
8 4 2 2
Direct
0.759 0.238 0.999 Y
0.241 0.762 0.001 Y
0.749 0.752 0.989 Y
0.251 0.248 0.011 Y
0.262 0.741 0.501 Y
0.738 0.259 0.499 Y
0.252 0.249 0.489 Y
0.748 0.751 0.511 Y
0.500 0.000 0.000 Dy
0.000 0.000 0.500 Dy
0.500 0.500 0.000 Dy
0.500 0.000 0.500 Dy
0.000 0.500 0.500 Pr
0.000 0.500 0.000 Pr
0.000 0.000 0.000 Sc
0.500 0.500 0.500 Sc
```

Calculated values
Energy of formation = 433 meV/atom

---

An optimized crystal structure of Pr2DyY5Sc. Source: the Alexandria database, functional PBE.

```
Pr2DyY5Sc
1.0
-2.847 3.789 -2.950
0.686 -8.445 -6.228
-8.910 -3.629 3.940
Y Pr Dy Sc
10 4 2 2
Direct
0.632 0.263 0.520 Y
0.985 0.969 0.515 Y
0.702 0.404 0.199 Y
0.483 0.966 0.740 Y
0.271 0.542 0.330 Y
0.298 0.596 0.699 Y
0.368 0.737 0.020 Y
0.015 0.031 0.015 Y
0.729 0.458 0.830 Y
0.517 0.034 0.240 Y
0.888 0.776 0.814 Pr
0.116 0.233 0.735 Pr
0.112 0.224 0.314 Pr
0.884 0.767 0.235 Pr
0.407 0.813 0.455 Dy
0.593 0.187 0.955 Dy
0.808 0.616 0.516 Sc
0.192 0.384 0.016 Sc
```

Calculated values
Energy of formation = 148 meV/atom

---

An optimized crystal structure of PrDy2YSc. Source: the Alexandria database, functional PBE.

```
PrDy2YSc
1.0
-0.878 5.126 3.489
-2.020 -3.571 4.737
8.936 1.162 0.542
Y Pr Sc Dy
2 2 2 4
Direct
0.750 0.158 0.315 Y
0.250 0.842 0.685 Y
0.750 0.340 0.681 Pr
0.250 0.660 0.319 Pr
0.250 0.252 0.504 Sc
0.750 0.748 0.496 Sc
0.000 0.750 0.000 Dy
0.000 0.250 0.000 Dy
0.500 0.250 0.000 Dy
0.500 0.750 0.000 Dy
```

Calculated values
Energy of formation = 411 meV/atom

---

An optimized crystal structure of PrDy2Se4. Source: the Alexandria database, functional PBE.

```
PrDy2Se4
1.0
-0.871 -0.727 3.881
-1.972 -5.726 -3.622
12.651 -5.500 1.809
Se Pr Dy
8 2 4
Direct
0.774 0.547 0.381 Se
0.040 0.080 0.250 Se
0.226 0.453 0.619 Se
0.774 0.547 0.119 Se
0.226 0.453 0.881 Se
0.500 0.000 0.000 Se
0.960 0.920 0.750 Se
0.500 0.000 0.500 Se
0.624 0.248 0.750 Pr
0.376 0.752 0.250 Pr
0.130 0.261 0.432 Dy
0.130 0.261 0.068 Dy
0.870 0.739 0.932 Dy
0.870 0.739 0.568 Dy
```

Calculated values
Distance to the lowest polymorph of the same formula = 0 meV/atom
E_form (uncorrected) = -1.8694 eV/atom